Entry 1:
A relaxed NiMo2Ru crystal, computed with PBE-GGA.

The structure in CIF format:
```
data_NiMo2Ru
_chemical_formula_sum 'Ni1 Mo2 Ru1'
_symmetry_space_group_name_H-M 'P 1'
_symmetry_Int_Tables_number 1
_cell_length_a 2.922
_cell_length_b 3.478
_cell_length_c 5.626
_cell_angle_alpha 90.00
_cell_angle_beta 90.00
_cell_angle_gamma 90.00
loop_
_symmetry_equiv_pos_as_xyz
'x,y,z'
loop_
_atom_site_label
_atom_site_fract_x
_atom_site_fract_y
_atom_site_fract_z
Mo1 0.000 0.000 0.988
Mo2 0.500 0.500 0.280
Ni1 0.000 0.000 0.492
Ru1 0.500 0.500 0.740
```

Calculated values
**E_form**: 0.096 eV/atom
**Energy**: -36.3 eV per cell
**Space-group type**: Pmm2 (25)

Entry 2:
A relaxed UTlAg2Br8 crystal, computed with PBE-GGA.

The structure in CIF format:
```
data_UTlAg2Br8
_chemical_formula_sum 'U1 Tl1 Ag2 Br8'
_symmetry_space_group_name_H-M 'P 1'
_symmetry_Int_Tables_number 1
_cell_length_a 6.929
_cell_length_b 7.713
_cell_length_c 9.539
_cell_angle_alpha 68.10
_cell_angle_beta 89.33
_cell_angle_gamma 98.31
loop_
_symmetry_equiv_pos_as_xyz
'x,y,z'
loop_
_atom_site_label
_atom_site_fract_x
_atom_site_fract_y
_atom_site_fract_z
U1 0.000 0.000 0.000
Tl1 0.000 0.000 0.500
Ag1 0.508 0.358 0.663
Ag2 0.492 0.642 0.337
Br1 0.114 0.767 0.270
Br2 0.651 0.766 0.049
Br3 0.858 0.201 0.143
Br4 0.886 0.233 0.730
Br5 0.349 0.234 0.951
Br6 0.142 0.799 0.857
Br7 0.568 0.739 0.572
Br8 0.432 0.261 0.428
```

Calculated values
**Energy**: -43.1 eV per cell
**Space-group type**: P-1 (2)

Question: Look up the energy of the second one.
Answer: -43.1 eV per cell